No. 1
## Zr2TlO4 (PBE)

Data for a relaxed structure of Zr2TlO4.

It has space group Fd-3m (No. 227, origin choice 2), with a = 9.608 Å, b = 9.608 Å, c = 9.608 Å, α = 90.00°, β = 90.00° and γ = 90.00°. The distinct sites, in fractional coordinates, are Zr at (0.000, 0.000, 0.000), Tl at (0.125, 0.125, 0.625) and O at (0.025, 0.025, 0.225).

Its total energy is -8.05 eV per atom. Its mass density is 6.75 g/cm3.


No. 2
## TmO2 (PBE)

Data for a relaxed structure of TmO2.

It has space group Fd-3m (No. 227, origin choice 2), with a = 6.416 Å, b = 6.416 Å, c = 6.416 Å, α = 90.00°, β = 90.00° and γ = 90.00°. The distinct sites, in fractional coordinates, are Tm at (0.125, 0.125, 0.125) and O at (0.000, 0.000, 0.500).

Its total energy is -5.33 eV per atom. Its mass density is 10.11 g/cm3.


No. 3
## TmO2 (PBE)

Data for a relaxed structure of TmO2.

It has space group Fd-3m (No. 227, origin choice 2), with a = 9.537 Å, b = 9.537 Å, c = 9.537 Å, α = 90.00°, β = 90.00° and γ = 90.00°. The distinct sites, in fractional coordinates, are Tm at (0.125, 0.125, 0.125) and O at (0.000, 0.000, 0.000).

Its total energy is -7.06 eV per atom. Its mass density is 3.08 g/cm3.


No. 4
## Tm5O (PBE)

Data for a relaxed structure of Tm5O.

It has space group P6/mmm (No. 191), with a = 6.1047 Å, b = 6.1047 Å, c = 5.8751 Å, α = 90.00°, β = 90.00° and γ = 120.00°. The distinct sites, in fractional coordinates, are Tm at (0.0000, 0.5000, 0.0000), Tm at (0.3333, 0.6667, 0.5000) and O at (0.0000, 0.0000, 0.5000).

Its total energy is -3.70 eV per atom. Its mass density is 7.54 g/cm3.


No. 5
## Tm3O2 (PBE)

Data for a relaxed structure of Tm3O2.

It has space group R-3c (No. 167, hexagonal axes), with a = 5.8975 Å, b = 5.8975 Å, c = 16.3627 Å, α = 90.00°, β = 90.00° and γ = 120.00°. The distinct sites, in fractional coordinates, are Tm at (0.0000, 0.3272, 0.2500) and O at (0.0000, 0.0000, 0.1657).

Its total energy is -6.89 eV per atom. Its mass density is 10.89 g/cm3.


No. 6
## YTm2O3 (PBE)

Data for a relaxed structure of YTm2O3.

It has space group P-3m1 (No. 164), with a = 3.3516 Å, b = 3.3516 Å, c = 8.2094 Å, α = 90.00°, β = 90.00° and γ = 120.00°. The distinct sites, in fractional coordinates, are Y at (0.0000, 0.0000, 0.0000), Tm at (0.3333, 0.6667, 0.6658), O at (0.0000, 0.0000, 0.5000) and O at (0.3333, 0.6667, 0.1848).

Its total energy is -7.83 eV per atom. Its mass density is 9.87 g/cm3.


No. 7
## Y2TmO4 (PBE)

Data for a relaxed structure of Y2TmO4.

It has space group Fd-3m (No. 227, origin choice 2), with a = 9.503 Å, b = 9.503 Å, c = 9.503 Å, α = 90.00°, β = 90.00° and γ = 90.00°. The distinct sites, in fractional coordinates, are Y at (0.000, 0.000, 0.000), Tm at (0.125, 0.125, 0.625) and O at (0.005, 0.005, 0.245).

Its total energy is -8.54 eV per atom. Its mass density is 6.36 g/cm3.


No. 8
## Y2Tm2O5 (PBE)

Data for a relaxed structure of Y2Tm2O5.

It has space group P4/mmm (No. 123), with a = 3.869 Å, b = 3.869 Å, c = 9.263 Å, α = 90.00°, β = 90.00° and γ = 90.00°. The distinct sites, in fractional coordinates, are Y at (0.000, 0.000, 0.000), Y at (0.000, 0.000, 0.500), Tm at (0.500, 0.500, 0.244), O at (0.000, 0.500, 0.149) and O at (0.500, 0.500, 0.500).

Its mass density is 7.13 g/cm3. The value obtained for the energy relative to the lowest polymorph listed for this composition is 0 meV/atom.


No. 9
## Y2Tm2O5 (PBE)

Data for a relaxed structure of Y2Tm2O5.

It has space group P4/mmm (No. 123), with a = 3.853 Å, b = 3.853 Å, c = 9.545 Å, α = 90.00°, β = 90.00° and γ = 90.00°. The distinct sites, in fractional coordinates, are Y at (0.000, 0.000, 0.240), Tm at (0.500, 0.500, 0.000), Tm at (0.500, 0.500, 0.500), O at (0.000, 0.000, 0.500) and O at (0.000, 0.500, 0.140).

Its mass density is 6.98 g/cm3. The value obtained for the energy relative to the lowest polymorph listed for this composition is 76 meV/atom.


No. 10
## TmZnO3 (PBE)

Data for a relaxed structure of TmZnO3.

It has space group P4mm (No. 99), with a = 3.738 Å, b = 3.738 Å, c = 4.221 Å, α = 90.00°, β = 90.00° and γ = 90.00°. The distinct sites, in fractional coordinates, are Tm at (0.000, 0.000, 0.000), Zn at (0.500, 0.500, 0.599), O at (0.000, 0.500, 0.696) and O at (0.500, 0.500, 0.137).

Its total energy is -6.08 eV per atom. Its mass density is 7.95 g/cm3.


No. 11
## TmZnO3 (PBE)

Data for a relaxed structure of TmZnO3.

It has space group Pnma (No. 62), with a = 5.737 Å, b = 7.385 Å, c = 5.187 Å, α = 90.00°, β = 90.00° and γ = 90.00°. The distinct sites, in fractional coordinates, are Tm at (0.089, 0.250, 0.025), Zn at (0.000, 0.000, 0.500), O at (0.043, 0.750, 0.373) and O at (0.180, 0.559, 0.810).

Its total energy is -6.33 eV per atom. Its mass density is 8.54 g/cm3.


No. 12
## TmZnO3 (PBE)

Data for a relaxed structure of TmZnO3.

It has space group R-3 (No. 148, hexagonal axes), with a = 5.4249 Å, b = 5.4249 Å, c = 14.2043 Å, α = 90.00°, β = 90.00° and γ = 120.00°. The distinct sites, in fractional coordinates, are Tm at (0.0000, 0.0000, 0.1369), Zn at (0.0000, 0.0000, 0.3520) and O at (0.0250, 0.3064, 0.2516).

Its total energy is -6.23 eV per atom. Its mass density is 7.77 g/cm3.